## Pm3Hf (GGA-PBE)

Data for an optimized crystal structure of Pm3Hf.

Properties
DOS(E_F) in states/eV per cell: 3.93
Calculated volume in Å³/cell: 121.2
Total DFT energy (no corrections) in eV per atom: -5.873

The structure in extended XYZ format:
```
4
Lattice="4.949 0.000 0.000 0.000 4.949 0.000 0.000 0.000 4.949" Properties=species:S:1:pos:R:3 pbc="T T T"
Hf 0.000 0.000 0.000
Pm 2.474 0.000 2.474
Pm 0.000 2.474 2.474
Pm 2.474 2.474 0.000
```